ScTaMoO6 after structural relaxation. Source: Alexandria, functional PBE+U.

The value obtained for the uncorrected energy is -156.7 eV for the cell shown.

It has space group P-31c (No. 163), with a = 5.2473 Å, b = 5.2473 Å, c = 9.0396 Å, α = 90.00°, β = 90.00° and γ = 120.00°. Symmetry generates all atoms from Sc at (0.3333, 0.6667, 0.2500), Ta at (0.3333, 0.6667, 0.7500), Mo at (0.0000, 0.0000, 0.0000) and O at (0.0180, 0.3399, 0.6303).